# 1
Compound: RuC3
Source: Alexandria
Functional: PBE
Structure: optimized geometry

Properties
The value obtained for the total moment is 0.00 μB per formula unit. As for the energy relative to the elements: 1.485 eV/atom. The calculation puts the excess energy over the best structure of this formula in the dataset at 0.579 eV/atom. The space group is P2/m, No. 10.

abc: 3.1909 2.5232 4.4818
angles: 90.00 107.28 90.00
With the nearest neighbours (Å) after each atom.
Fractional positions:
Ru 0.0000 0.0000 0.0000  6 C 2.18-2.24
C 0.0000 0.0000 0.5000  4 C 1.65
C 0.2704 0.5000 0.4081  1 C 1.45
C 0.7296 0.5000 0.5919  1 C 1.45

***

# 2
Compound: CdHg4Pb2
Source: Alexandria
Functional: PBE
Structure: optimized geometry

Properties
The value obtained for the total moment is 0.00 μB per formula unit. As for the energy relative to the elements: 0.043 eV/atom. The calculation puts the excess energy over the best structure of this formula in the dataset at 0.000 eV/atom. The space group is Fd-3m, No. 227.

abc: 10.4209 10.4209 10.4209
angles: 60.00 60.00 60.00
With the nearest neighbours (Å) after each atom.
Fractional positions:
Cd 0.0000 0.0000 0.0000  6 Hg 2.91
Cd 0.0000 0.0000 0.5000  6 Hg 2.91
Cd 0.0000 0.5000 0.0000  6 Hg 2.91
Cd 0.5000 0.0000 0.0000  6 Hg 2.91
Hg 0.0000 0.5000 0.5000  6 Pb 3.23, 6 Hg 3.53
Hg 0.0886 0.0886 0.6614  2 Cd 2.91
Hg 0.0886 0.6614 0.0886  2 Cd 2.91
Hg 0.0886 0.6614 0.6614  2 Cd 2.91
Hg 0.3386 0.3386 0.9114  2 Cd 2.91
Hg 0.3386 0.9114 0.3386  2 Cd 2.91
Hg 0.3386 0.9114 0.9114  2 Cd 2.91
Hg 0.5000 0.0000 0.5000  6 Pb 3.23, 6 Hg 3.53
Hg 0.5000 0.5000 0.0000  6 Pb 3.23, 6 Hg 3.53
Hg 0.5000 0.5000 0.5000  6 Pb 3.23, 6 Hg 3.53
Hg 0.6614 0.0886 0.0886  2 Cd 2.91
Hg 0.6614 0.0886 0.6614  2 Cd 2.91
Hg 0.6614 0.6614 0.0886  2 Cd 2.91
Hg 0.9114 0.3386 0.3386  2 Cd 2.91
Hg 0.9114 0.3386 0.9114  2 Cd 2.91
Hg 0.9114 0.9114 0.3386  2 Cd 2.91
Pb 0.2876 0.2876 0.2876  9 Hg 3.23-3.47
Pb 0.2876 0.2876 0.6373  9 Hg 3.23-3.47
Pb 0.2876 0.6373 0.2876  9 Hg 3.23-3.47
Pb 0.3627 0.7124 0.7124  9 Hg 3.23-3.47
Pb 0.6373 0.2876 0.2876  9 Hg 3.23-3.47
Pb 0.7124 0.3627 0.7124  9 Hg 3.23-3.47
Pb 0.7124 0.7124 0.3627  9 Hg 3.23-3.47
Pb 0.7124 0.7124 0.7124  9 Hg 3.23-3.47

***

# 3
Compound: TbSmSiRh
Source: Alexandria
Functional: PBE
Structure: optimized geometry

Properties
The value obtained for the total moment is 0.00 μB per formula unit. The energy relative to the elements, uncorrected is -0.81 eV/atom. The space group is Amm2, No. 38.

abc: 4.0778 5.6858 5.6858
angles: 43.40 90.00 90.00
With the nearest neighbours (Å) after each atom.
Fractional positions:
Tb 0.0000 0.0000 0.0000  4 Rh 3.00, 3 Si 3.02-3.12
Sm 0.5000 0.7180 0.7180  3 Rh 2.98-3.12, 4 Si 3.04
Si 0.0000 0.2950 0.2950  2 Rh 2.53
Rh 0.5000 0.4365 0.4365  2 Si 2.53

***

# 4
Compound: Dy3ThFe
Source: Alexandria
Functional: PBE
Structure: optimized geometry

Properties
The value obtained for the total moment is 0.00 μB per formula unit. As for the energy relative to the elements: 0.222 eV/atom. The space group is Pm-3m, No. 221.

abc: 5.2495 5.2495 5.2495
angles: 90.00 90.00 90.00
With the nearest neighbours (Å) after each atom.
Fractional positions:
Dy 0.0000 0.0000 0.5000  2 Fe 2.62
Dy 0.0000 0.5000 0.0000  2 Fe 2.62
Dy 0.5000 0.0000 0.0000  2 Fe 2.62
Th 0.5000 0.5000 0.5000  12 Dy 3.71
Fe 0.0000 0.0000 0.0000  6 Dy 2.62

***

Question: Which value of total moment does entry 2 give?
Answer: 0.00 μB per formula unit

***

Question: What is the formula in the fourth record?
Answer: Dy3ThFe

***

Question: Which formula does entry 1 have?
Answer: RuC3